# 1
DFT (PBE) results for a relaxed LaZnRu2 crystal.

Unit cell a=4.4753 b=4.4753 c=17.7526 alpha=90.00 beta=90.00 gamma=90.00
Space group I-42d (No. 122)
One atom of each set of equivalent atoms:
La (0.0000, 0.0000, 0.0000)
Zn (0.0000, 0.0000, 0.5000)
Ru (0.1045, 0.2500, 0.6250)

## Properties
* size of the total moment: 0.00 μB/cell
* theoretical density: 7.59 g/cm3
* energy of formation from the pure elements: 0.20 eV per atom
* N(E_F): 3.4 states/eV/f.u.


# 2
DFT (PBE) results for a relaxed MgInFeCl5 crystal.

Unit cell a=8.7361 b=11.6261 c=9.3085 alpha=90.00 beta=112.99 gamma=90.00
Space group C2/c (No. 15)
One atom of each set of equivalent atoms:
Mg (0.0000, 0.0000, 0.0000)
In (0.0000, 0.3332, 0.2500)
Fe (0.0000, 0.3147, 0.7500)
Cl (0.0000, 0.0680, 0.2500)
Cl (0.1046, 0.2017, 0.6054)
Cl (0.1936, 0.4323, 0.9299)

## Properties
* size of the total moment: 16.00 μB/cell
* theoretical density: 2.84 g/cm3
* N(E_F): 6.5 states/eV/f.u.
* energy relative to the elements, uncorrected: -1.133 eV/atom


# 3
DFT (PBE) results for a relaxed ZrSb2OF crystal.

Unit cell a=4.3638 b=4.3638 c=4.8608 alpha=90.00 beta=90.00 gamma=90.00
Space group P4/mmm (No. 123)
One atom of each set of equivalent atoms:
Zr (0.0000, 0.0000, 0.0000)
Sb (0.0000, 0.5000, 0.5000)
O (0.5000, 0.5000, 0.5000)
F (0.5000, 0.5000, 0.0000)

## Properties
* size of the total moment: 0.00 μB/cell
* theoretical density: 6.63 g/cm3
* N(E_F): 1.4 states/eV/f.u.
* energy relative to the elements, uncorrected: -0.624 eV/atom